No. 1
Here is a relaxed Tb6PrNdTm2 crystal from Alexandria. Energies are from PBE-GGA.

## Properties
As for the space-group type: No. 15. For the energy of formation from the pure elements, the calculation gives 0.121 eV/atom. Its crystal system is monoclinic.

Unit cell a=8.8101 b=8.8101 c=9.4611 alpha=93.06 beta=93.06 gamma=116.18
Last column: nearest neighbours and their distance in Å.
Atoms (fractional coordinates):
1 Tb 0.0130 0.5572 0.1792  2 Tb 3.20-3.45, 2 Tm 3.44-3.54, 1 Pr 3.47, 1 Nd 3.52
2 Tb 0.1100 0.7597 0.5577  7 Tb 3.42-3.79, 1 Tm 3.48, 2 Nd 3.67
3 Tb 0.2403 0.8900 0.9423  7 Tb 3.42-3.79, 1 Tm 3.48, 2 Nd 3.67
4 Tb 0.2940 0.5218 0.3853  4 Tb 3.20-3.55, 3 Tm 3.33-3.48, 2 Pr 3.47-3.49
5 Tb 0.4428 0.9870 0.3208  2 Tb 3.20-3.45, 2 Tm 3.44-3.54, 1 Pr 3.47, 1 Nd 3.52
6 Tb 0.4782 0.7060 0.1147  4 Tb 3.20-3.55, 3 Tm 3.33-3.48, 2 Pr 3.47-3.49
7 Tb 0.5218 0.2940 0.8853  4 Tb 3.20-3.55, 3 Tm 3.33-3.48, 2 Pr 3.47-3.49
8 Tb 0.5572 0.0130 0.6792  2 Tb 3.20-3.45, 2 Tm 3.44-3.54, 1 Pr 3.47, 1 Nd 3.52
9 Tb 0.7060 0.4782 0.6147  4 Tb 3.20-3.55, 3 Tm 3.33-3.48, 2 Pr 3.47-3.49
10 Tb 0.7597 0.1100 0.0577  7 Tb 3.42-3.79, 1 Tm 3.48, 2 Nd 3.67
11 Tb 0.8900 0.2403 0.4423  7 Tb 3.42-3.79, 1 Tm 3.48, 2 Nd 3.67
12 Tb 0.9870 0.4428 0.8208  2 Tb 3.20-3.45, 2 Tm 3.44-3.54, 1 Pr 3.47, 1 Nd 3.52
13 Pr 0.4088 0.5912 0.7500  6 Tb 3.47-3.49, 2 Tm 3.54
14 Pr 0.5912 0.4088 0.2500  6 Tb 3.47-3.49, 2 Tm 3.54
15 Nd 0.0367 0.9633 0.2500  4 Tm 3.38-3.50, 6 Tb 3.52-3.67
16 Nd 0.9633 0.0367 0.7500  4 Tm 3.38-3.50, 6 Tb 3.52-3.67
17 Tm 0.1992 0.2990 0.0521  6 Tb 3.33-3.54, 2 Nd 3.38-3.50, 1 Pr 3.54
18 Tm 0.2990 0.1992 0.5521  6 Tb 3.33-3.54, 2 Nd 3.38-3.50, 1 Pr 3.54
19 Tm 0.7010 0.8008 0.4479  6 Tb 3.33-3.54, 2 Nd 3.38-3.50, 1 Pr 3.54
20 Tm 0.8008 0.7010 0.9479  6 Tb 3.33-3.54, 2 Nd 3.38-3.50, 1 Pr 3.54

---

No. 2
Here is a relaxed Hf2MgTi3N6 crystal from Alexandria. Energies are from PBE-GGA.

## Properties
As for the space-group type: No. 12. Its formation energy without anion corrections is -1.6249 eV/atom. Its crystal system is monoclinic.

Unit cell a=6.9285 b=6.9285 c=6.1823 alpha=103.12 beta=103.12 gamma=25.78
Last column: nearest neighbours and their distance in Å.
Atoms (fractional coordinates):
1 Hf 0.1626 0.1626 0.3275  6 N 2.16-2.26
2 Hf 0.8374 0.8374 0.6725  6 N 2.16-2.26
3 Mg 0.5000 0.5000 0.0000  6 N 2.20
4 Ti 0.1596 0.1596 0.8253  6 N 2.07-2.27
5 Ti 0.5000 0.5000 0.5000  6 N 2.17
6 Ti 0.8404 0.8404 0.1747  6 N 2.07-2.27
7 N 0.0020 0.0020 0.7476  3 Ti 2.07-2.17, 1 Hf 2.16, 2 Mg 2.20
8 N 0.3323 0.3323 0.9245  3 Ti 2.17-2.27, 1 Mg 2.20, 2 Hf 2.21
9 N 0.3345 0.3345 0.4126  3 Ti 2.15-2.17, 3 Hf 2.22-2.26
10 N 0.6655 0.6655 0.5874  3 Ti 2.15-2.17, 3 Hf 2.22-2.26
11 N 0.6677 0.6677 0.0755  3 Ti 2.17-2.27, 1 Mg 2.20, 2 Hf 2.21
12 N 0.9980 0.9980 0.2524  3 Ti 2.07-2.17, 1 Hf 2.16, 2 Mg 2.20

---

No. 3
Here is a relaxed Tm5GaTe2 crystal from Alexandria. Energies are from PBE-GGA.

## Properties
As for the space-group type: No. 63. Its formation energy without anion corrections is -0.5168 eV/atom. Its crystal system is orthorhombic.

Unit cell a=6.7702 b=6.7702 c=13.0986 alpha=90.00 beta=90.00 gamma=127.95
Last column: nearest neighbours and their distance in Å.
Atoms (fractional coordinates):
1 Tm 0.0612 0.9388 0.6131  1 Ga 2.86, 2 Te 3.06-3.07
2 Tm 0.0612 0.9388 0.8869  1 Ga 2.86, 2 Te 3.06-3.07
3 Tm 0.3695 0.6305 0.2500  2 Te 3.05, 2 Ga 3.28
4 Tm 0.3823 0.6177 0.5683  1 Ga 2.91, 3 Te 3.11-3.12
5 Tm 0.3823 0.6177 0.9317  1 Ga 2.91, 3 Te 3.11-3.12
6 Tm 0.6177 0.3823 0.0683  1 Ga 2.91, 3 Te 3.11-3.12
7 Tm 0.6177 0.3823 0.4317  1 Ga 2.91, 3 Te 3.11-3.12
8 Tm 0.6305 0.3695 0.7500  2 Te 3.05, 2 Ga 3.28
9 Tm 0.9388 0.0612 0.1131  1 Ga 2.86, 2 Te 3.06-3.07
10 Tm 0.9388 0.0612 0.3869  1 Ga 2.86, 2 Te 3.06-3.07
11 Ga 0.2445 0.7555 0.7500  4 Tm 2.86-2.91
12 Ga 0.7555 0.2445 0.2500  4 Tm 2.86-2.91
13 Te 0.1892 0.8108 0.0885  6 Tm 3.05-3.12
14 Te 0.1892 0.8108 0.4115  6 Tm 3.05-3.12
15 Te 0.8108 0.1892 0.5885  6 Tm 3.05-3.12
16 Te 0.8108 0.1892 0.9115  6 Tm 3.05-3.12

---

No. 4
Here is a relaxed Zn2AsAu crystal from Alexandria. Energies are from PBE-GGA.

## Properties
As for the space-group type: No. 123. For the energy of formation from the pure elements, the calculation gives 0.044 eV/atom. Its crystal system is tetragonal.

Unit cell a=2.9193 b=2.9193 c=8.0768 alpha=90.00 beta=90.00 gamma=90.00
Last column: nearest neighbours and their distance in Å.
Atoms (fractional coordinates):
1 Zn 0.0000 0.0000 0.2352  4 Au 2.81, 4 Zn 2.92, 4 As 2.97
2 Zn 0.0000 0.0000 0.7648  4 Au 2.81, 4 Zn 2.92, 4 As 2.97
3 As 0.5000 0.5000 0.5000  4 As 2.92, 8 Zn 2.97
4 Au 0.5000 0.5000 0.0000  8 Zn 2.81, 4 Au 2.92

---

| no. | VASP energy (eV/atom) |
| --- | --- |
| 1 | -4.506 |
| 2 | -9.553 |
| 3 | -4.475 |
| 4 | -2.574 |